1.
Material: Cu2HgRu
Method: DFT, PBE
State: optimized geometry

Properties
Energy of formation in kJ/mol of atoms: 38
SG: No. 160
Crystal system: trigonal
Total DFT energy (no corrections) in eV/atom: -4.053

a b c (Å): 8.965 8.965 8.965
angles (deg): 18.02 18.02 18.02
Element x y z (fractional)
Cu: 0.000 0.000 0.000
Cu: 0.260 0.260 0.260
Hg: 0.755 0.755 0.755
Ru: 0.516 0.516 0.516

***

2.
Material: Cu2HgRu
Method: DFT, PBE
State: optimized geometry

Properties
Energy of formation in kJ/mol of atoms: 37
SG: No. 12
Crystal system: monoclinic
Total DFT energy (no corrections) in eV/atom: -4.063

a b c (Å): 4.670 4.670 4.922
angles (deg): 100.01 100.01 34.96
Element x y z (fractional)
Cu: 0.244 0.244 0.217
Cu: 0.756 0.756 0.783
Hg: 0.000 0.000 0.500
Ru: 0.500 0.500 0.000

***

3.
Material: CuHgRu2
Method: DFT, PBE
State: optimized geometry

Properties
Energy of formation in kJ/mol of atoms: 54
SG: No. 216
Crystal system: cubic
Total DFT energy (no corrections) in eV/atom: -5.181

a b c (Å): 4.428 4.428 4.428
angles (deg): 60.00 60.00 60.00
Element x y z (fractional)
Cu: 0.000 0.000 0.000
Hg: 0.250 0.250 0.250
Ru: 0.500 0.500 0.500
Ru: 0.750 0.750 0.750